[1]
{
  "formula": "BeInCl",
  "functional": "GGA-PBEsol",
  "state": "relaxed",
  "lattice": [[2.9843, 0.0000, 0.0000], [0.0000, 2.9843, 0.0000], [-1.4922, -1.4922, 6.9618]],
  "species": ["Be", "Cl", "In"],
  "frac_coords": [[0.0239, 0.0239, 0.0478], [0.6030, 0.6030, 0.2060], [0.3731, 0.3731, 0.7462]],
  "e_form_raw_ev_per_atom": 0.06,
  "sg": "I4mm",
  "dos_ef_per_ev_fu": 0.7
}

[2]
{
  "formula": "PuAu3",
  "functional": "GGA-PBEsol",
  "state": "relaxed",
  "lattice": [[-3.0442, -1.0387, -3.5888], [-2.4947, -4.1226, 0.0735], [-4.7557, 0.0749, 0.7765]],
  "species": ["Au", "Au", "Au", "Pu"],
  "frac_coords": [[0.7500, 0.7500, 0.7500], [0.5000, 0.5000, 0.5000], [0.2500, 0.2500, 0.2500], [0.0000, 0.0000, 0.0000]],
  "dft_energy_ev_per_atom": -6.912,
  "sg": "Fm-3m",
  "dos_ef_per_ev_fu": 11.9
}

[3]
{
  "formula": "PtAu",
  "functional": "GGA-PBEsol",
  "state": "relaxed",
  "lattice": [[2.7748, 0.0000, 0.0000], [-1.3874, 2.4027, 0.0000], [0.0000, 0.0000, 4.8174]],
  "species": ["Au", "Pt"],
  "frac_coords": [[0.0000, 0.0000, 0.0000], [0.5000, 0.0000, 0.5000]],
  "dft_energy_ev_per_atom": -5.393,
  "sg": "Cmmm",
  "dos_ef_per_ev_fu": 1.0
}

[4]
{
  "formula": "Ba2NaFe",
  "functional": "GGA-PBEsol",
  "state": "relaxed",
  "lattice": [[5.7861, 0.0000, 0.0000], [2.8931, 5.0109, 0.0000], [2.8931, 1.6703, 4.7243]],
  "species": ["Ba", "Ba", "Fe", "Na"],
  "frac_coords": [[0.2500, 0.2500, 0.2500], [0.7500, 0.7500, 0.7500], [0.5000, 0.5000, 0.5000], [0.0000, 0.0000, 0.0000]],
  "dft_energy_ev_per_atom": -3.077,
  "sg": "Fm-3m",
  "dos_ef_per_ev_fu": 6.7
}

[5]
{
  "formula": "SbPdPb3",
  "functional": "GGA-PBEsol",
  "state": "relaxed",
  "lattice": [[5.6677, 0.0000, 0.0000], [0.0000, 5.6677, 0.0000], [0.0000, 0.0000, 5.6677]],
  "species": ["Pd", "Pb", "Pb", "Pb", "Sb"],
  "frac_coords": [[0.5000, 0.5000, 0.5000], [0.0000, 0.0000, 0.5000], [0.5000, 0.0000, 0.0000], [0.0000, 0.5000, 0.0000], [0.0000, 0.0000, 0.0000]],
  "e_form_raw_ev_per_atom": 1.02,
  "sg": "Pm-3m",
  "dos_ef_per_ev_fu": 3.4
}

[6]
{
  "formula": "Sc2NbMoCl",
  "functional": "GGA-PBEsol",
  "state": "relaxed",
  "lattice": [[-4.1050, 0.6218, 1.5071], [-0.0762, -4.3465, 1.5857], [1.7063, 1.4477, 4.0503]],
  "species": ["Mo", "Cl", "Nb", "Sc", "Sc"],
  "frac_coords": [[0.5000, 0.0000, 0.0000], [0.0000, 0.0000, 0.0000], [0.5000, 0.5000, 0.5000], [0.0000, 0.5000, 0.0000], [0.0000, 0.0000, 0.5000]],
  "e_form_raw_ev_per_atom": 0.24,
  "sg": "P4/mmm",
  "dos_ef_per_ev_fu": 5.3
}

[7]
{
  "formula": "InCuIr2",
  "functional": "GGA-PBEsol",
  "state": "relaxed",
  "lattice": [[-0.7436, 2.3488, 1.3514], [-2.4028, -1.2194, 0.7973], [3.3537, -2.5284, 6.2400]],
  "species": ["Cu", "In", "Ir", "Ir"],
  "frac_coords": [[0.0000, 0.0000, 0.4852], [0.5000, 0.5000, 0.7443], [0.0000, 0.0000, 0.0160], [0.5000, 0.5000, 0.2544]],
  "dft_energy_ev_per_atom": -6.573,
  "sg": "P4mm",
  "dos_ef_per_ev_fu": 4.2
}

[8]
{
  "formula": "TcPdPt2N",
  "functional": "GGA-PBEsol",
  "state": "relaxed",
  "lattice": [[-0.6664, 0.0420, 3.4121], [-1.5365, -4.6825, -0.2424], [4.5924, -1.5543, 0.9160]],
  "species": ["Pt", "Pt", "N", "Tc", "Pd"],
  "frac_coords": [[0.0000, 0.5000, 0.0000], [0.0000, 0.0000, 0.5000], [0.5000, 0.0000, 0.0000], [0.5000, 0.5000, 0.5000], [0.0000, 0.0000, 0.0000]],
  "e_form_raw_ev_per_atom": 1.56,
  "sg": "P4/mmm",
  "dos_ef_per_ev_fu": 3.5
}

[9]
{
  "formula": "SrLa3Rh",
  "functional": "GGA-PBEsol",
  "state": "relaxed",
  "lattice": [[-3.5079, 2.3332, 3.7884], [-4.3134, -2.9664, -2.1670], [1.0911, -4.2258, 3.6129]],
  "species": ["La", "La", "La", "Rh", "Sr"],
  "frac_coords": [[0.0000, 0.0000, 0.5000], [0.5000, 0.0000, 0.0000], [0.0000, 0.5000, 0.0000], [0.0000, 0.0000, 0.0000], [0.5000, 0.5000, 0.5000]],
  "dft_energy_ev_per_atom": -5.401,
  "sg": "Pm-3m",
  "dos_ef_per_ev_fu": 7.1
}

[10]
{
  "formula": "Si2AsRh",
  "functional": "GGA-PBEsol",
  "state": "relaxed",
  "lattice": [[5.5552, 0.0000, 0.0000], [0.0000, 5.5552, 0.0000], [-2.7776, -2.7776, 5.0970]],
  "species": ["Rh", "Rh", "Si", "Si", "Si", "Si", "As", "As"],
  "frac_coords": [[0.0000, 0.0000, 0.0000], [0.2500, 0.7500, 0.5000], [0.8955, 0.3750, 0.2500], [0.1250, 0.1045, 0.7500], [0.3545, 0.8750, 0.2500], [0.6250, 0.6455, 0.7500], [0.7500, 0.2500, 0.5000], [0.5000, 0.5000, 0.0000]],
  "e_form_raw_ev_per_atom": -0.06,
  "sg": "I-42d",
  "dos_ef_per_ev_fu": 1.7
}

[11]
{
  "formula": "Rb2NaBiCl6",
  "functional": "GGA-PBEsol",
  "state": "relaxed",
  "lattice": [[-7.4989, 0.3105, 1.1514], [-3.2635, -4.6513, 5.0368], [-2.7283, 2.7763, 6.5195]],
  "species": ["Cl", "Cl", "Cl", "Cl", "Cl", "Cl", "Bi", "Na", "Rb", "Rb"],
  "frac_coords": [[0.2493, 0.7507, 0.7507], [0.7507, 0.2493, 0.7507], [0.2493, 0.2493, 0.7507], [0.7507, 0.7507, 0.2493], [0.2493, 0.7507, 0.2493], [0.7507, 0.2493, 0.2493], [0.0000, 0.0000, 0.0000], [0.5000, 0.5000, 0.5000], [0.2500, 0.2500, 0.2500], [0.7500, 0.7500, 0.7500]],
  "e_form_raw_ev_per_atom": -1.55,
  "sg": "Fm-3m",
  "dos_ef_per_ev_fu": 0.0
}

[12]
{
  "formula": "Ti2ZnCu2",
  "functional": "GGA-PBEsol",
  "state": "relaxed",
  "lattice": [[3.2025, 0.0000, 0.0000], [0.0000, 6.6464, 0.0000], [0.0000, 0.0000, 6.6464]],
  "species": ["Ti", "Ti", "Ti", "Ti", "Cu", "Cu", "Cu", "Cu", "Zn", "Zn"],
  "frac_coords": [[0.5000, 0.3300, 0.1700], [0.5000, 0.8300, 0.3300], [0.5000, 0.1700, 0.6700], [0.5000, 0.6700, 0.8300], [0.0000, 0.8717, 0.6283], [0.0000, 0.1283, 0.3717], [0.0000, 0.3717, 0.8717], [0.0000, 0.6283, 0.1283], [0.0000, 0.0000, 0.0000], [0.0000, 0.5000, 0.5000]],
  "dft_energy_ev_per_atom": -5.456,
  "sg": "P4/mbm",
  "dos_ef_per_ev_fu": 4.5
}

[13]
{
  "formula": "BSIO2",
  "functional": "GGA-PBEsol",
  "state": "relaxed",
  "lattice": [[3.4663, 0.0000, 0.0000], [0.0000, 3.4663, 0.0000], [0.0000, 0.0000, 6.8206]],
  "species": ["I", "S", "B", "O", "O"],
  "frac_coords": [[0.0000, 0.0000, 0.5000], [0.0000, 0.0000, 0.0000], [0.5000, 0.5000, 0.5000], [0.5000, 0.0000, 0.0000], [0.0000, 0.5000, 0.0000]],
  "e_form_raw_ev_per_atom": 0.70,
  "sg": "P4/mmm",
  "dos_ef_per_ev_fu": 2.9
}

[14]
{
  "formula": "SiIr2Rh",
  "functional": "GGA-PBEsol",
  "state": "relaxed",
  "lattice": [[2.7447, 0.0000, 0.0000], [0.0000, 4.5125, -0.0003], [0.0000, -1.2491, 4.3362]],
  "species": ["Rh", "Ir", "Ir", "Si"],
  "frac_coords": [[0.5000, 0.0000, 0.0000], [0.0000, 0.5000, 0.0000], [0.0000, 0.0000, 0.5000], [0.5000, 0.5000, 0.5000]],
  "e_form_raw_ev_per_atom": -0.27,
  "sg": "Cmmm",
  "dos_ef_per_ev_fu": 2.2
}

[15]
{
  "formula": "CrIr8",
  "functional": "GGA-PBEsol",
  "state": "relaxed",
  "lattice": [[3.8009, 0.0000, 0.0000], [1.9004, 5.7084, 0.0000], [1.9004, 0.0000, 5.7084]],
  "species": ["Ir", "Ir", "Ir", "Ir", "Ir", "Ir", "Ir", "Ir", "Cr"],
  "frac_coords": [[0.6622, 0.0000, 0.6756], [0.0000, 0.3295, 0.6705], [0.3378, 0.0000, 0.3244], [0.6622, 0.6756, 0.0000], [0.6705, 0.3295, 0.3295], [0.0000, 0.6705, 0.3295], [0.3295, 0.6705, 0.6705], [0.3378, 0.3244, 0.0000], [0.0000, 0.0000, 0.0000]],
  "dft_energy_ev_per_atom": -9.966,
  "sg": "I4/mmm",
  "dos_ef_per_ev_fu": 7.9
}

[16]
{
  "formula": "BaAu",
  "functional": "GGA-PBEsol",
  "state": "relaxed",
  "lattice": [[7.3494, 0.0000, 0.0000], [0.0000, 9.7832, 0.0000], [0.0000, 0.0000, 10.8039]],
  "species": ["Au", "Au", "Au", "Au", "Au", "Au", "Au", "Au", "Au", "Au", "Au", "Au", "Ba", "Ba", "Ba", "Ba", "Ba", "Ba", "Ba", "Ba", "Ba", "Ba", "Ba", "Ba"],
  "frac_coords": [[0.7500, 0.9529, 0.5804], [0.5000, 0.2500, 0.0434], [0.0000, 0.2500, 0.0434], [0.7500, 0.3470, 0.8517], [0.2500, 0.6530, 0.1483], [0.5000, 0.7500, 0.9566], [0.0000, 0.7500, 0.9566], [0.2500, 0.1530, 0.8517], [0.2500, 0.5471, 0.5804], [0.2500, 0.0471, 0.4196], [0.7500, 0.8470, 0.1483], [0.7500, 0.4529, 0.4196], [0.0000, 0.2500, 0.6101], [0.2500, 0.4806, 0.8874], [0.7500, 0.6342, 0.7156], [0.7500, 0.0194, 0.8874], [0.2500, 0.3658, 0.2844], [0.2500, 0.8658, 0.7156], [0.5000, 0.2500, 0.6101], [0.7500, 0.1342, 0.2844], [0.0000, 0.7500, 0.3899], [0.2500, 0.9806, 0.1126], [0.5000, 0.7500, 0.3899], [0.7500, 0.5194, 0.1126]],
  "dft_energy_ev_per_atom": -3.601,
  "sg": "Pbcm",
  "dos_ef_per_ev_fu": 1.3
}

[17]
{
  "formula": "MgCoSe3",
  "functional": "GGA-PBEsol",
  "state": "relaxed",
  "lattice": [[4.6636, 0.0000, 0.0000], [0.0000, 4.6636, 0.0000], [0.0000, 0.0000, 4.6636]],
  "species": ["Se", "Se", "Se", "Mg", "Co"],
  "frac_coords": [[0.0000, 0.5000, 0.0000], [0.0000, 0.0000, 0.5000], [0.5000, 0.0000, 0.0000], [0.5000, 0.5000, 0.5000], [0.0000, 0.0000, 0.0000]],
  "e_form_raw_ev_per_atom": 0.02,
  "sg": "Pm-3m",
  "dos_ef_per_ev_fu": 6.0
}

[18]
{
  "formula": "NbFe3Ge",
  "functional": "GGA-PBEsol",
  "state": "relaxed",
  "lattice": [[4.1605, 0.0000, 0.0000], [0.0000, 4.1605, 0.0000], [0.0000, 0.0000, 4.1605]],
  "species": ["Nb", "Ge", "Fe", "Fe", "Fe"],
  "frac_coords": [[0.5000, 0.5000, 0.5000], [0.0000, 0.0000, 0.0000], [0.5000, 0.0000, 0.0000], [0.0000, 0.0000, 0.5000], [0.0000, 0.5000, 0.0000]],
  "dft_energy_ev_per_atom": -7.616,
  "sg": "Pm-3m",
  "dos_ef_per_ev_fu": 3.2
}

[19]
{
  "formula": "CaAl2Zn",
  "functional": "GGA-PBEsol",
  "state": "relaxed",
  "lattice": [[4.7384, 0.0000, 0.0000], [-2.3692, 4.1105, 0.1786], [0.0000, 2.5578, 3.9888]],
  "species": ["Ca", "Zn", "Al", "Al"],
  "frac_coords": [[0.0000, 0.0000, 0.0000], [0.7500, 0.5000, 0.7500], [0.2500, 0.5000, 0.2500], [0.5000, 0.0000, 0.5000]],
  "dft_energy_ev_per_atom": -3.070,
  "sg": "I-4m2",
  "dos_ef_per_ev_fu": 1.1
}

[20]
{
  "formula": "Al2ZnP",
  "functional": "GGA-PBEsol",
  "state": "relaxed",
  "lattice": [[-0.9353, 2.6233, 0.0330], [-2.6611, -0.9668, 1.4340], [2.9644, 0.9795, 6.1614]],
  "species": ["Al", "Al", "Zn", "P"],
  "frac_coords": [[0.0000, 0.0000, 0.7707], [0.0000, 0.0000, 0.2293], [0.5000, 0.5000, 0.5000], [0.5000, 0.5000, 0.0000]],
  "dft_energy_ev_per_atom": -3.834,
  "sg": "Pmmm",
  "dos_ef_per_ev_fu": 1.4
}